# 1
The following is a DFT calculation (PBE-GGA) of a relaxed Rb2TlPbI6 crystal.

```
Rb2TlPbI6
1.0
8.8159 0.0004 0.0007
4.4083 7.6340 0.0002
4.4086 2.5451 7.3362
I Tl Pb Rb
6 1 1 2
direct
0.1574 0.9821 0.2771 I
0.0792 0.4861 0.7750 I
0.5832 0.1575 0.2773 I
0.4861 0.6597 0.7749 I
0.9822 0.5833 0.2772 I
0.6597 0.0790 0.7751 I
0.3189 0.3189 0.0433 Tl
0.8197 0.8197 0.5410 Pb
0.5371 0.5370 0.3889 Rb
0.0381 0.0383 0.8855 Rb
```

Formation energy from raw total energies ... -0.882 eV/atom



# 2
The following is a DFT calculation (PBE-GGA) of a relaxed Pr4PSeI2 crystal.

```
Pr4PSeI2
1.0
4.3084 0.0000 0.0000
0.0000 7.4800 0.1394
0.0000 -2.6219 7.6331
Pr Se I P
4 1 2 1
direct
0.5000 0.2188 0.1901 Pr
0.5000 0.7812 0.8099 Pr
0.0000 0.2572 0.8091 Pr
0.0000 0.7428 0.1909 Pr
0.5000 0.5000 0.0000 Se
0.0000 0.5000 0.5000 I
0.5000 0.0000 0.5000 I
0.0000 0.0000 0.0000 P
```

Formation energy from raw total energies ... -1.375 eV/atom



What did the first record say?
The following is a DFT calculation (PBE-GGA) of a relaxed Rb2TlPbI6 crystal.

```
Rb2TlPbI6
1.0
8.8159 0.0004 0.0007
4.4083 7.6340 0.0002
4.4086 2.5451 7.3362
I Tl Pb Rb
6 1 1 2
direct
0.1574 0.9821 0.2771 I
0.0792 0.4861 0.7750 I
0.5832 0.1575 0.2773 I
0.4861 0.6597 0.7749 I
0.9822 0.5833 0.2772 I
0.6597 0.0790 0.7751 I
0.3189 0.3189 0.0433 Tl
0.8197 0.8197 0.5410 Pb
0.5371 0.5370 0.3889 Rb
0.0381 0.0383 0.8855 Rb
```

Formation energy from raw total energies ... -0.882 eV/atom



Question: Which value of formation energy from raw total energies does entry 1 give?
Answer: -0.882 eV/atom



Question: The highest formation energy from raw total energies belongs to which entry?
Answer: Rb2TlPbI6



Question: Among the records above, which one has the lowest formation energy from raw total energies?
Answer: Pr4PSeI2